# 1
## Sr2LaCu2 (PBE)

Data for crystalline Sr2LaCu2 at its relaxed geometry.

Output
Electronic total energy = -30.8 eV/cell
Magnetization = 0.5 μB per formula unit
Energy relative to the elements = 221.0 meV/atom
Distance to the lowest polymorph of the same formula = 1.108 eV/f.u.

```
data_Sr2LaCu2
_cell_length_a 8.9740
_cell_length_b 8.9740
_cell_length_c 3.5205
_cell_angle_alpha 90.00
_cell_angle_beta 90.00
_cell_angle_gamma 90.00
_symmetry_space_group_name_H-M 'P 4/m b m'
_symmetry_Int_Tables_number 127
_symmetry_space_group_name_Hall '-P 4 2ab'
loop_
_atom_site_label
_atom_site_fract_x
_atom_site_fract_y
_atom_site_fract_z
Sr1 0.1345 0.3655 0.0000
La1 0.0000 0.0000 0.0000
Cu1 0.1665 0.6665 0.5000
```

# 2
## NdEr3Ag2 (PBE)

Data for crystalline NdEr3Ag2 at its relaxed geometry.

Output
Electronic total energy = -25.4 eV/cell
Magnetization = 0.0 μB per formula unit
Energy relative to the elements = -205.9 meV/atom
Distance to the lowest polymorph of the same formula = 0.000 eV/f.u.

```
data_NdEr3Ag2
_cell_length_a 3.6118
_cell_length_b 3.6118
_cell_length_c 12.3180
_cell_angle_alpha 90.00
_cell_angle_beta 90.00
_cell_angle_gamma 90.00
_symmetry_space_group_name_H-M 'P 4/m m m'
_symmetry_Int_Tables_number 123
_symmetry_space_group_name_Hall '-P 4 2'
loop_
_atom_site_label
_atom_site_fract_x
_atom_site_fract_y
_atom_site_fract_z
Nd1 0.0000 0.0000 0.0000
Er1 0.5000 0.5000 0.2083
Er2 0.5000 0.5000 0.5000
Ag1 0.0000 0.0000 0.3524
```

# 3
## Ho3Cu2SiNi9 (PBE)

Data for crystalline Ho3Cu2SiNi9 at its relaxed geometry.

Output
Electronic total energy = -79.8 eV/cell
Magnetization = 0.0 μB per formula unit
Uncorrected formation energy = -2.5 kJ/mol of atoms

```
data_Ho3Cu2SiNi9
_cell_length_a 5.8657
_cell_length_b 5.8657
_cell_length_c 8.3034
_cell_angle_alpha 90.00
_cell_angle_beta 90.00
_cell_angle_gamma 120.00
_symmetry_space_group_name_H-M 'P -3 m 1'
_symmetry_Int_Tables_number 164
_symmetry_space_group_name_Hall '-P 3 2"'
loop_
_atom_site_label
_atom_site_fract_x
_atom_site_fract_y
_atom_site_fract_z
Ho1 0.0000 0.0000 0.0000
Ho2 0.3333 0.6667 0.6959
Cu1 0.3333 0.6667 0.1920
Si1 0.0000 0.0000 0.5000
Ni1 0.0000 0.5000 0.0000
Ni2 0.1353 0.2706 0.2922
```